# CaRe2Ru, relaxed, DFT PBE-GGA
data_CaRe2Ru
_chemical_formula_sum 'Ca1 Re2 Ru1'
_cell_length_a 9.717
_cell_length_b 9.717
_cell_length_c 9.717
_cell_angle_alpha 16.78
_cell_angle_beta 16.78
_cell_angle_gamma 16.78
_space_group_name_H-M_alt 'P 1'
_space_group_IT_number 1
_space_group_name_Hall 'P 1'
loop_
_atom_site_label
_atom_site_fract_x
_atom_site_fract_y
_atom_site_fract_z
Re1 0.509 0.509 0.509
Ru1 0.250 0.250 0.250
Ca1 0.750 0.750 0.750
Re2 0.991 0.991 0.991
# Energy above the lowest structure with this stoichiometry ... 167 meV/atom
# Energy of formation from the pure elements ... 0.565 eV per atom
# D(E_F) ... 4.9 states/eV/f.u.